Material: MnPdNO2
Method: DFT, PBE+U
State: optimized geometry

Lattice parameters (Å, degrees): 3.582 3.582 3.977 90.00 90.00 90.00
Fractional positions:
N 0.000 0.000 0.500
O 0.000 0.500 0.000
O 0.500 0.000 0.000
Mn 0.000 0.000 0.000
Pd 0.500 0.500 0.500

For the volume, the calculation gives 10.21 Å³ per atom. The crystal system is tetragonal. The calculation puts the total energy at -5.5477 eV per atom.